[1]
# PBE-GGA Li2CdRu, optimized geometry
data_Li2CdRu
_space_group_name_H-M_alt 'C m m 2'
_space_group_IT_number 35
_cell_length_a 2.953
_cell_length_b 4.673
_cell_length_c 9.635
_cell_angle_alpha 90.00
_cell_angle_beta 90.00
_cell_angle_gamma 90.00
loop_
_space_group_symop_operation_xyz
'x,y,z'
'-x,-y,z'
'-x,y,z'
'x,-y,z'
'x+1/2,y+1/2,z'
'-x+1/2,-y+1/2,z'
'-x+1/2,y+1/2,z'
'x+1/2,-y+1/2,z'
loop_
_atom_site_label
_atom_site_type_symbol
_atom_site_fract_x
_atom_site_fract_y
_atom_site_fract_z
Li1 Li 0.000 0.000 0.000
Li2 Li 0.000 0.500 0.270
Cd1 Cd 0.000 0.000 0.523
Ru1 Ru 0.000 0.500 0.777
# E = -3.31 eV/atom
# E_form = 0.190 eV per atom

***

[2]
# PBE-GGA LiCdRu, optimized geometry
data_LiCdRu
_space_group_name_H-M_alt 'F m m 2'
_space_group_IT_number 42
_space_group_name_Hall 'F 2 -2'
_cell_length_a 2.918
_cell_length_b 4.677
_cell_length_c 14.288
_cell_angle_alpha 90.00
_cell_angle_beta 90.00
_cell_angle_gamma 90.00
loop_
_atom_site_label
_atom_site_type_symbol
_atom_site_fract_x
_atom_site_fract_y
_atom_site_fract_z
Li1 Li 0.000 0.000 0.000
Cd1 Cd 0.000 0.000 0.323
Ru1 Ru 0.000 0.000 0.650
# E = -3.80 eV/atom
# E_form = 0.237 eV per atom